VASP calculation (PBE) on a geometry-optimized ZrSiCl2 structure.

Cell and atoms, written as POSCAR:
```
ZrSiCl2
1.0
4.1714 0.0000 0.0000
0.0000 4.1714 0.0000
0.0000 0.0000 4.5040
Cl Si Zr
2 1 1
Cartesian
0.0000 0.0000 0.0000 Cl
2.0857 2.0857 0.0000 Cl
2.0857 0.0000 2.2520 Si
0.0000 2.0857 2.2520 Zr
```

SG	P4/mmm
volume	78.37	Å³/cell
DOS at the Fermi energy	1.748	states/eV/cell
formation energy (no corrections)	-143	meV per atom
calculated total energy	-18.24	eV/f.u.

***

VASP calculation (PBE) on a geometry-optimized Zr2SiCl structure.

Cell and atoms, written as POSCAR:
```
Zr2SiCl
1.0
5.7900 0.0000 0.0000
0.0000 5.7900 0.0000
2.8950 2.8950 6.1137
Si Zr Cl
2 4 2
Cartesian
2.8950 2.8950 0.0000 Si
2.8950 5.7900 3.0569 Si
4.3228 1.4475 1.5284 Zr
1.4672 4.3425 1.5284 Zr
4.3425 4.3622 4.5853 Zr
7.2375 7.2178 4.5853 Zr
0.0000 0.0000 0.0000 Cl
5.7900 2.8950 3.0569 Cl
```

SG	I-42d
volume	204.96	Å³/cell
DOS at the Fermi energy	7.038	states/eV/cell
formation energy (no corrections)	-46	meV per atom
calculated total energy	-24.55	eV/f.u.

***

VASP calculation (PBE) on a geometry-optimized ZrSi2Cl structure.

Cell and atoms, written as POSCAR:
```
ZrSi2Cl
1.0
-0.7106 -1.0573 5.5139
4.2106 -0.6682 3.7216
-1.7750 3.4422 -4.1264
Cl Si Zr
1 2 1
Cartesian
-0.3678 0.7611 3.0027 Cl
0.0000 0.0000 0.0000 Si
1.7500 -0.8628 4.6177 Si
2.0928 0.9556 2.1065 Zr
```

SG	I4/mmm
volume	69.14	Å³/cell
DOS at the Fermi energy	1.582	states/eV/cell
formation energy (no corrections)	-174	meV per atom
calculated total energy	-21.93	eV/f.u.

***

VASP calculation (PBE) on a geometry-optimized ZrSiCl2 structure.

Cell and atoms, written as POSCAR:
```
ZrSiCl2
1.0
-3.2311 -6.2641 -2.2083
-2.6068 -6.8621 0.8191
-4.4264 1.2959 1.1688
Cl Si Zr
2 1 1
Cartesian
-5.3871 -11.6206 -1.1847 Cl
-5.5829 -7.4209 -0.3146 Cl
-7.6982 -8.8728 -0.1652 Si
-2.5661 -2.9576 -0.0551 Zr
```

SG	C2/m
volume	107.51	Å³/cell
DOS at the Fermi energy	0.118	states/eV/cell
formation energy (no corrections)	-802	meV per atom
calculated total energy	-20.87	eV/f.u.

***

VASP calculation (PBE) on a geometry-optimized ZrSi2Cl2 structure.

Cell and atoms, written as POSCAR:
```
ZrSi2Cl2
1.0
-1.6551 1.6551 11.5929
1.6551 -1.6551 11.5929
1.6551 1.6551 -11.5929
Zr Si Cl
1 2 2
Cartesian
0.0000 0.0000 0.0000 Zr
1.6551 0.0000 5.7964 Si
0.0000 1.6551 5.7964 Si
0.0000 0.0000 13.1200 Cl
0.0000 0.0000 10.0657 Cl
```

SG	I4/mmm
volume	127.03	Å³/cell
DOS at the Fermi energy	1.320	states/eV/cell
formation energy (no corrections)	-435	meV per atom
calculated total energy	-25.26	eV/f.u.

***

VASP calculation (PBE) on a geometry-optimized ZrSiCl2 structure.

Cell and atoms, written as POSCAR:
```
ZrSiCl2
1.0
5.2383 -0.0002 0.0000
-1.8976 4.8825 0.0000
0.0000 0.0000 3.1050
Cl Si Zr
2 1 1
Cartesian
0.0000 0.0000 0.0000 Cl
1.6704 2.4411 0.0000 Cl
2.6192 -0.0001 1.5525 Si
-0.9488 2.4413 1.5525 Zr
```

SG	Cmmm
volume	79.41	Å³/cell
DOS at the Fermi energy	2.207	states/eV/cell
formation energy (no corrections)	-33	meV per atom
calculated total energy	-17.80	eV/f.u.